Record 1
Compound: Sr5CrN4Cl2
Source: Alexandria via LeMat-Bulk
Functional: PBE-GGA
Structure: relaxed

a b c (Å): 8.213 5.720 5.720
angles (deg): 112.24 90.00 90.00
Element x y z (fractional)
Sr 0.000 0.000 0.000
Sr 0.304 0.196 0.571
Sr 0.304 0.571 0.196
Sr 0.696 0.196 0.571
Sr 0.696 0.571 0.196
Cr 0.500 0.889 0.889
N 0.315 0.057 0.057
N 0.500 0.555 0.860
N 0.500 0.860 0.555
N 0.685 0.057 0.057
Cl 0.000 0.455 0.860
Cl 0.000 0.860 0.455

## Properties
- theoretical density (Mg/m³) = 4.1
- energy relative to the elements, uncorrected (eV per atom) = -1.001
- symmetry = Amm2, No. 38
- Fermi-level density of states (states/eV per cell) = 4.94

---

Record 2
Compound: CrTeNCl2
Source: Alexandria via LeMat-Bulk
Functional: PBE-GGA
Structure: relaxed

a b c (Å): 5.209 5.209 3.582
angles (deg): 90.00 90.00 90.00
Element x y z (fractional)
Cr 0.000 0.000 0.000
Te 0.500 0.500 0.500
N 0.000 0.000 0.500
Cl 0.000 0.500 0.000
Cl 0.500 0.000 0.000

## Properties
- theoretical density (Mg/m³) = 4.5
- energy relative to the elements, uncorrected (eV per atom) = 0.147
- symmetry = P4/mmm, No. 123
- Fermi-level density of states (states/eV per cell) = 3.21

---

Record 3
Compound: Na2Cr3Cl8
Source: Alexandria via LeMat-Bulk
Functional: PBE-GGA
Structure: relaxed

a b c (Å): 7.518 7.518 7.108
angles (deg): 101.16 101.16 56.18
Element x y z (fractional)
Na 0.228 0.228 0.142
Na 0.772 0.772 0.858
Cr 0.250 0.750 0.500
Cr 0.500 0.500 0.000
Cr 0.750 0.250 0.500
Cl 0.111 0.111 0.441
Cl 0.159 0.628 0.098
Cl 0.372 0.841 0.902
Cl 0.390 0.390 0.567
Cl 0.610 0.610 0.433
Cl 0.628 0.159 0.098
Cl 0.841 0.372 0.902
Cl 0.889 0.889 0.559

## Properties
- theoretical density (Mg/m³) = 2.5
- energy relative to the elements, uncorrected (eV per atom) = -1.188
- symmetry = C2/m, No. 12
- Fermi-level density of states (states/eV per cell) = 1.27

---

Record 4
Compound: NaCr2Cl6
Source: Alexandria via LeMat-Bulk
Functional: PBE-GGA
Structure: relaxed

a b c (Å): 6.323 6.323 6.179
angles (deg): 90.00 90.00 120.00
Element x y z (fractional)
Na 0.000 0.000 0.000
Cr 0.333 0.667 0.500
Cr 0.667 0.333 0.500
Cl 0.000 0.365 0.720
Cl 0.000 0.635 0.280
Cl 0.365 0.000 0.720
Cl 0.365 0.365 0.280
Cl 0.635 0.000 0.280
Cl 0.635 0.635 0.720

## Properties
- theoretical density (Mg/m³) = 2.6
- energy relative to the elements, uncorrected (eV per atom) = -1.202
- symmetry = P-31m, No. 162
- Fermi-level density of states (states/eV per cell) = 7.22

---

Record 5
Compound: Na2CrCl4
Source: Alexandria via LeMat-Bulk
Functional: PBE-GGA
Structure: relaxed

a b c (Å): 4.038 11.567 7.014
angles (deg): 90.00 93.38 90.00
Element x y z (fractional)
Na 0.022 0.182 0.403
Na 0.022 0.318 0.903
Na 0.978 0.682 0.097
Na 0.978 0.818 0.597
Cr 0.500 0.000 0.000
Cr 0.500 0.500 0.500
Cl 0.072 0.047 0.759
Cl 0.072 0.453 0.259
Cl 0.486 0.695 0.387
Cl 0.486 0.805 0.887
Cl 0.514 0.195 0.113
Cl 0.514 0.305 0.613
Cl 0.928 0.547 0.741
Cl 0.928 0.953 0.241

## Properties
- theoretical density (Mg/m³) = 2.4
- energy relative to the elements, uncorrected (eV per atom) = -1.424
- symmetry = P2_1/c, No. 14
- polymorph energy (0 for the lowest one) (meV/atom) = 0

---

Record 6
Compound: Na3CrCl
Source: Alexandria via LeMat-Bulk
Functional: PBE-GGA
Structure: relaxed

a b c (Å): 5.845 5.845 5.845
angles (deg): 90.00 90.00 90.00
Element x y z (fractional)
Na 0.000 0.000 0.500
Na 0.000 0.500 0.000
Na 0.500 0.000 0.000
Cr 0.000 0.000 0.000
Cl 0.500 0.500 0.500

## Properties
- theoretical density (Mg/m³) = 1.3
- energy relative to the elements, uncorrected (eV per atom) = 0.309
- symmetry = Pm-3m, No. 221
- Fermi-level density of states (states/eV per cell) = 1.83
- polymorph energy (0 for the lowest one) (meV/atom) = 391

---

Record 7
Compound: NaCr3Cl8
Source: Alexandria via LeMat-Bulk
Functional: PBE-GGA
Structure: relaxed

a b c (Å): 7.468 7.468 7.810
angles (deg): 121.05 121.05 61.58
Element x y z (fractional)
Na 0.000 0.000 0.000
Cr 0.000 0.500 0.500
Cr 0.500 0.000 0.500
Cr 0.500 0.500 0.000
Cl 0.257 0.257 0.322
Cl 0.261 0.704 0.762
Cl 0.271 0.271 0.793
Cl 0.296 0.739 0.238
Cl 0.704 0.261 0.762
Cl 0.729 0.729 0.207
Cl 0.739 0.296 0.238
Cl 0.743 0.743 0.678

## Properties
- theoretical density (Mg/m³) = 2.5
- energy relative to the elements, uncorrected (eV per atom) = -1.129
- symmetry = C2/m, No. 12
- Fermi-level density of states (states/eV per cell) = 5.70

---

Record 8
Compound: Na3CrCl
Source: Alexandria via LeMat-Bulk
Functional: PBE-GGA
Structure: relaxed

a b c (Å): 5.374 5.374 5.374
angles (deg): 90.00 90.00 90.00
Element x y z (fractional)
Na 0.000 0.000 0.500
Na 0.000 0.500 0.000
Na 0.500 0.000 0.000
Cr 0.500 0.500 0.500
Cl 0.000 0.000 0.000

## Properties
- theoretical density (Mg/m³) = 1.7
- energy relative to the elements, uncorrected (eV per atom) = -0.082
- symmetry = Pm-3m, No. 221
- Fermi-level density of states (states/eV per cell) = 1.89
- polymorph energy (0 for the lowest one) (meV/atom) = 0

---

Record 9
Compound: Na3CrCl4
Source: Alexandria via LeMat-Bulk
Functional: PBE-GGA
Structure: relaxed

a b c (Å): 6.620 6.620 6.620
angles (deg): 117.81 117.81 93.83
Element x y z (fractional)
Na 0.000 0.000 0.000
Na 0.250 0.750 0.500
Na 0.750 0.250 0.500
Cr 0.500 0.500 0.000
Cl 0.148 0.626 0.000
Cl 0.374 0.374 0.522
Cl 0.626 0.148 0.000
Cl 0.852 0.852 0.478

## Properties
- theoretical density (Mg/m³) = 2.1
- energy relative to the elements, uncorrected (eV per atom) = -1.304
- symmetry = I-42m, No. 121
- Fermi-level density of states (states/eV per cell) = 1.52

---

Record 10
Compound: Na2CrCl4
Source: Alexandria via LeMat-Bulk
Functional: PBE-GGA
Structure: relaxed

a b c (Å): 7.022 7.097 7.659
angles (deg): 90.00 106.20 90.00
Element x y z (fractional)
Na 0.195 0.250 0.049
Na 0.225 0.250 0.554
Na 0.775 0.750 0.446
Na 0.805 0.750 0.951
Cr 0.270 0.750 0.813
Cr 0.730 0.250 0.187
Cl 0.025 0.511 0.752
Cl 0.025 0.989 0.752
Cl 0.488 0.750 0.107
Cl 0.493 0.750 0.636
Cl 0.507 0.250 0.364
Cl 0.512 0.250 0.893
Cl 0.975 0.011 0.248
Cl 0.975 0.489 0.248

## Properties
- theoretical density (Mg/m³) = 2.2
- energy relative to the elements, uncorrected (eV per atom) = -1.310
- symmetry = P2_1/m, No. 11
- Fermi-level density of states (states/eV per cell) = 12.47
- polymorph energy (0 for the lowest one) (meV/atom) = 114

---

Record 11
Compound: NaCr2Cl
Source: Alexandria via LeMat-Bulk
Functional: PBE-GGA
Structure: relaxed

a b c (Å): 13.202 13.202 13.202
angles (deg): 165.14 165.14 21.08
Element x y z (fractional)
Na 0.000 0.000 0.000
Na 0.750 0.250 0.500
Cr 0.174 0.125 0.549
Cr 0.375 0.826 0.951
Cr 0.576 0.625 0.451
Cr 0.875 0.424 0.049
Cl 0.250 0.750 0.500
Cl 0.500 0.500 0.000

## Properties
- theoretical density (Mg/m³) = 3.6
- energy relative to the elements, uncorrected (eV per atom) = 0.599
- symmetry = I-42d, No. 122
- Fermi-level density of states (states/eV per cell) = 7.18
- polymorph energy (0 for the lowest one) (meV/atom) = 0

---

Record 12
Compound: Na6CrCl8
Source: Alexandria via LeMat-Bulk
Functional: PBE-GGA
Structure: relaxed

a b c (Å): 7.988 7.988 7.988
angles (deg): 60.00 60.00 60.00
Element x y z (fractional)
Na 0.000 0.000 0.500
Na 0.000 0.500 0.000
Na 0.000 0.500 0.500
Na 0.500 0.000 0.000
Na 0.500 0.000 0.500
Na 0.500 0.500 0.000
Cr 0.000 0.000 0.000
Cl 0.225 0.225 0.775
Cl 0.225 0.775 0.225
Cl 0.225 0.775 0.775
Cl 0.250 0.250 0.250
Cl 0.750 0.750 0.750
Cl 0.775 0.225 0.225
Cl 0.775 0.225 0.775
Cl 0.775 0.775 0.225

## Properties
- theoretical density (Mg/m³) = 2.2
- energy relative to the elements, uncorrected (eV per atom) = -1.624
- symmetry = Fm-3m, No. 225
- Fermi-level density of states (states/eV per cell) = 6.25

---

Record 13
Compound: NaCr2Cl
Source: Alexandria via LeMat-Bulk
Functional: PBE-GGA
Structure: relaxed

a b c (Å): 5.018 5.018 5.018
angles (deg): 60.00 60.00 60.00
Element x y z (fractional)
Na 0.000 0.000 0.000
Cr 0.250 0.250 0.250
Cr 0.750 0.750 0.750
Cl 0.500 0.500 0.500

## Properties
- theoretical density (Mg/m³) = 3.0
- energy relative to the elements, uncorrected (eV per atom) = 0.850
- symmetry = Fm-3m, No. 225
- Fermi-level density of states (states/eV per cell) = 0.57
- polymorph energy (0 for the lowest one) (meV/atom) = 251

---

Record 14
Compound: Na2CrCl4
Source: Alexandria via LeMat-Bulk
Functional: PBE-GGA
Structure: relaxed

a b c (Å): 6.838 6.838 3.916
angles (deg): 90.00 90.00 106.93
Element x y z (fractional)
Na 0.000 0.500 0.000
Na 0.500 0.000 0.000
Cr 0.000 0.000 0.500
Cl 0.210 0.210 0.000
Cl 0.221 0.779 0.500
Cl 0.779 0.221 0.500
Cl 0.790 0.790 0.000

## Properties
- theoretical density (Mg/m³) = 2.3
- energy relative to the elements, uncorrected (eV per atom) = -1.416
- symmetry = Cmmm, No. 65
- Fermi-level density of states (states/eV per cell) = 4.22
- polymorph energy (0 for the lowest one) (meV/atom) = 8

---

Record 15
Compound: Na2CrCl4
Source: Alexandria via LeMat-Bulk
Functional: PBE-GGA
Structure: relaxed

a b c (Å): 7.843 7.843 7.843
angles (deg): 143.15 143.15 53.10
Element x y z (fractional)
Na 0.136 0.136 0.000
Na 0.864 0.864 0.000
Cr 0.500 0.500 0.000
Cl 0.000 0.500 0.500
Cl 0.328 0.328 0.000
Cl 0.500 0.000 0.500
Cl 0.672 0.672 0.000

## Properties
- theoretical density (Mg/m³) = 2.3
- energy relative to the elements, uncorrected (eV per atom) = -1.363
- symmetry = I4/mmm, No. 139
- Fermi-level density of states (states/eV per cell) = 0.28
- polymorph energy (0 for the lowest one) (meV/atom) = 61

---

Record 16
Compound: NaCrCl6
Source: Alexandria via LeMat-Bulk
Functional: PBE-GGA
Structure: relaxed

a b c (Å): 7.186 7.186 7.186
angles (deg): 60.00 60.00 60.00
Element x y z (fractional)
Na 0.000 0.000 0.000
Cr 0.500 0.500 0.500
Cl 0.278 0.278 0.722
Cl 0.278 0.722 0.278
Cl 0.278 0.722 0.722
Cl 0.722 0.278 0.278
Cl 0.722 0.278 0.722
Cl 0.722 0.722 0.278

## Properties
- theoretical density (Mg/m³) = 1.8
- energy relative to the elements, uncorrected (eV per atom) = -0.832
- symmetry = Fm-3m, No. 225
- Fermi-level density of states (states/eV per cell) = 15.79

---

Record 17
Compound: Na2Cr2Cl7
Source: Alexandria via LeMat-Bulk
Functional: PBE-GGA
Structure: relaxed

a b c (Å): 7.575 7.575 6.200
angles (deg): 94.15 94.15 119.27
Element x y z (fractional)
Na 0.206 0.794 0.000
Na 0.794 0.206 0.000
Cr 0.222 0.222 0.634
Cr 0.778 0.778 0.366
Cl 0.069 0.069 0.264
Cl 0.088 0.425 0.745
Cl 0.425 0.088 0.745
Cl 0.500 0.500 0.500
Cl 0.575 0.912 0.255
Cl 0.912 0.575 0.255
Cl 0.931 0.931 0.736

## Properties
- theoretical density (Mg/m³) = 2.2
- energy relative to the elements, uncorrected (eV per atom) = -1.220
- symmetry = C2/m, No. 12
- Fermi-level density of states (states/eV per cell) = 3.67